Record 1
# LaPmGe2Pd2 PBE relaxed
# Formation enthalpy at 0 K, eV per atom: -0.92
# Energy, eV/atom: -5.8000
# Magnetic moment, μB/atom: 0.00
data_LaPmGe2Pd2
_symmetry_space_group_name_H-M 'P -3 m 1'
_symmetry_Int_Tables_number 164
_symmetry_space_group_name_Hall '-P 3 2"'
_cell_length_a 4.3625
_cell_length_b 4.3625
_cell_length_c 8.2078
_cell_angle_alpha 90.00
_cell_angle_beta 90.00
_cell_angle_gamma 120.00
loop_
_atom_site_label
_atom_site_type_symbol
_atom_site_fract_x
_atom_site_fract_y
_atom_site_fract_z
_atom_site_occupancy
La1 La 0.0000 0.0000 0.0000 1
Pm1 Pm 0.0000 0.0000 0.5000 1
Ge1 Ge 0.3333 0.6667 0.2539 1
Pd1 Pd 0.3333 0.6667 0.7358 1


Record 2
# LaPm2Ge2Pd2 PBE relaxed
# Formation enthalpy at 0 K, eV per atom: -0.82
# Energy, eV/atom: -5.6810
# Magnetic moment, μB/atom: 0.00
data_LaPm2Ge2Pd2
_symmetry_space_group_name_H-M 'R -3 m'
_symmetry_Int_Tables_number 166
_symmetry_space_group_name_Hall '-R 3 2"'
_cell_length_a 4.5323
_cell_length_b 4.5323
_cell_length_c 28.3435
_cell_angle_alpha 90.00
_cell_angle_beta 90.00
_cell_angle_gamma 120.00
loop_
_atom_site_label
_atom_site_type_symbol
_atom_site_fract_x
_atom_site_fract_y
_atom_site_fract_z
_atom_site_occupancy
La1 La 0.0000 0.0000 0.0000 1
Pm1 Pm 0.0000 0.0000 0.1256 1
Ge1 Ge 0.0000 0.0000 0.2572 1
Pd1 Pd 0.0000 0.0000 0.4015 1